[1]
4
Lattice="0.000 3.964 3.964 3.964 0.000 3.964 3.964 3.964 0.000" Properties=species:S:1:pos:R:3 comment="Ba2ZnCd | OQMD | GGA-PBE | relaxed" density_g_cm3=6.03 dft_energy_ev_per_atom=-1.571 pbc="T T T"
Ba 0.000 0.000 0.000
Ba 5.945 5.945 5.945
Cd 3.964 3.964 3.964
Zn 1.982 1.982 1.982

***

[2]
6
Lattice="-0.156 -1.165 3.374 2.914 -1.992 -0.553 6.806 9.007 3.425" Properties=species:S:1:pos:R:3 comment="BaZrCd4 | OQMD | GGA-PBE | relaxed" density_g_cm3=7.48 dft_energy_ev_per_atom=-2.426 magnetic_moment_mub_per_fu=0.01 pbc="T T T"
Cd 6.738 5.514 4.107
Cd 2.826 0.337 2.139
Cd 4.408 5.833 2.218
Cd 2.398 3.174 1.207
Ba 0.000 0.000 0.000
Zr 4.782 2.925 3.123

***

[3]
4
Lattice="5.053 -1.613 0.804 1.811 -0.760 4.992 0.980 -4.968 1.771" Properties=species:S:1:pos:R:3 comment="BaZrCd2 | OQMD | GGA-PBE | relaxed" density_g_cm3=6.90 dft_energy_ev_per_atom=-2.690 magnetic_moment_mub_per_fu=1.97 pbc="T T T"
Ba 5.884 -5.506 5.675
Cd 0.000 0.000 0.000
Cd 1.961 -1.835 1.892
Zr 3.922 -3.671 3.783